(1)
Entry from Alexandria via LeMat-Bulk: an optimized crystal structure of CrSeCl4 (GGA-PBE).

CIF file:
```
data_CrSeCl4
_chemical_formula_sum 'Cr4 Se4 Cl16'
_space_group_name_H-M_alt 'F -4 3 m'
_space_group_IT_number 216
_space_group_name_Hall 'F -4 2 3'
_cell_length_a 8.266
_cell_length_b 8.266
_cell_length_c 8.266
_cell_angle_alpha 90.00
_cell_angle_beta 90.00
_cell_angle_gamma 90.00
loop_
_atom_site_label
_atom_site_type_symbol
_atom_site_fract_x
_atom_site_fract_y
_atom_site_fract_z
Cr1 Cr 0.000 0.000 0.000
Se1 Se 0.250 0.250 0.750
Cl1 Cl 0.126 0.126 0.374
```

Calculated values
Formation energy without anion corrections in eV per formula unit: 4.824
Theoretical density in Mg/m³: 3.21



(2)
Entry from Alexandria via LeMat-Bulk: an optimized crystal structure of Be2IrRu (GGA-PBE).

CIF file:
```
data_Be2IrRu
_chemical_formula_sum 'Be4 Ir2 Ru2'
_space_group_name_H-M_alt 'I m m 2'
_space_group_IT_number 44
_cell_length_a 2.838
_cell_length_b 3.777
_cell_length_c 8.411
_cell_angle_alpha 90.00
_cell_angle_beta 90.00
_cell_angle_gamma 90.00
loop_
_space_group_symop_operation_xyz
'x,y,z'
'-x,-y,z'
'-x,y,z'
'x,-y,z'
'x+1/2,y+1/2,z+1/2'
'-x+1/2,-y+1/2,z+1/2'
'-x+1/2,y+1/2,z+1/2'
'x+1/2,-y+1/2,z+1/2'
loop_
_atom_site_label
_atom_site_type_symbol
_atom_site_fract_x
_atom_site_fract_y
_atom_site_fract_z
Be1 Be 0.000 0.000 0.000
Be2 Be 0.000 0.500 0.263
Ir1 Ir 0.000 0.500 0.749
Ru1 Ru 0.000 0.000 0.507
```

Calculated values
Formation enthalpy at 0 K in eV per atom: -0.27
Theoretical density in Mg/m³: 11.46



(3)
Entry from Alexandria via LeMat-Bulk: an optimized crystal structure of KTa2Re (GGA-PBE).

CIF file:
```
data_KTa2Re
_chemical_formula_sum 'K2 Ta4 Re2'
_space_group_name_H-M_alt 'C m m m'
_space_group_IT_number 65
_space_group_name_Hall '-C 2 2'
_cell_length_a 6.017
_cell_length_b 9.627
_cell_length_c 2.690
_cell_angle_alpha 90.00
_cell_angle_beta 90.00
_cell_angle_gamma 90.00
loop_
_atom_site_label
_atom_site_type_symbol
_atom_site_fract_x
_atom_site_fract_y
_atom_site_fract_z
K1 K 0.000 0.000 0.000
Ta1 Ta 0.250 0.250 0.500
Re1 Re 0.000 0.500 0.000
```

Calculated values
Formation enthalpy at 0 K in eV per atom: 1.37
Theoretical density in Mg/m³: 12.52
Energy relative to the lowest polymorph listed for this composition in eV/f.u.: 3.14



(4)
Entry from Alexandria via LeMat-Bulk: an optimized crystal structure of Tl2InRe (GGA-PBE).

CIF file:
```
data_Tl2InRe
_chemical_formula_sum 'Tl2 In1 Re1'
_space_group_name_H-M_alt 'P 1 m 1'
_space_group_IT_number 6
_cell_length_a 3.134
_cell_length_b 4.941
_cell_length_c 5.896
_cell_angle_alpha 90.00
_cell_angle_beta 103.50
_cell_angle_gamma 90.00
loop_
_space_group_symop_operation_xyz
'x,y,z'
'x,-y,z'
loop_
_atom_site_label
_atom_site_type_symbol
_atom_site_fract_x
_atom_site_fract_y
_atom_site_fract_z
Tl1 Tl 0.000 0.000 0.000
Tl2 Tl 0.383 0.500 0.802
In1 In 0.647 0.500 0.344
Re1 Re 0.182 0.000 0.501
```

Calculated values
Formation enthalpy at 0 K in eV per atom: 0.81
Theoretical density in Mg/m³: 13.27
Energy relative to the lowest polymorph listed for this composition in eV/f.u.: 0.99



(5)
Entry from Alexandria via LeMat-Bulk: an optimized crystal structure of BaNaLiPb2 (GGA-PBE).

CIF file:
```
data_BaNaLiPb2
_chemical_formula_sum 'Ba1 Na1 Li1 Pb2'
_space_group_name_H-M_alt 'P 4/m m m'
_space_group_IT_number 123
_space_group_name_Hall '-P 4 2'
_cell_length_a 5.391
_cell_length_b 5.391
_cell_length_c 5.389
_cell_angle_alpha 90.00
_cell_angle_beta 90.00
_cell_angle_gamma 90.00
loop_
_atom_site_label
_atom_site_type_symbol
_atom_site_fract_x
_atom_site_fract_y
_atom_site_fract_z
Ba1 Ba 0.000 0.000 0.000
Na1 Na 0.500 0.500 0.000
Li1 Li 0.500 0.500 0.500
Pb1 Pb 0.000 0.500 0.500
```

Calculated values
Formation enthalpy at 0 K in eV per atom: -0.26
Theoretical density in Mg/m³: 6.17
Energy relative to the lowest polymorph listed for this composition in eV/f.u.: 0.14



(6)
Entry from Alexandria via LeMat-Bulk: an optimized crystal structure of Pr2Nd8Sm (GGA-PBE).

CIF file:
```
data_Pr2Nd8Sm
_chemical_formula_sum 'Pr4 Nd16 Sm2'
_space_group_name_H-M_alt 'C 1 2/m 1'
_space_group_IT_number 12
_cell_length_a 17.039
_cell_length_b 6.878
_cell_length_c 6.845
_cell_angle_alpha 90.00
_cell_angle_beta 100.39
_cell_angle_gamma 90.00
loop_
_space_group_symop_operation_xyz
'x,y,z'
'-x,-y,-z'
'-x,y,-z'
'x,-y,z'
'x+1/2,y+1/2,z'
'-x+1/2,-y+1/2,-z'
'-x+1/2,y+1/2,-z'
'x+1/2,-y+1/2,z'
loop_
_atom_site_label
_atom_site_type_symbol
_atom_site_fract_x
_atom_site_fract_y
_atom_site_fract_z
Pr1 Pr 0.198 0.000 0.309
Nd1 Nd 0.088 0.263 0.906
Nd2 Nd 0.090 0.500 0.411
Nd3 Nd 0.245 0.000 0.817
Sm1 Sm 0.000 0.000 0.500
```

Calculated values
Formation enthalpy at 0 K in eV per atom: 0.15
Theoretical density in Mg/m³: 6.68
Energy relative to the lowest polymorph listed for this composition in eV/f.u.: 0.00



Question: Which value of theoretical density does entry 1 give?
Answer: 3.21 Mg/m³



Question: What is the formula in the first record?
Answer: CrSeCl4